Entry from Alexandria via LeMat-Bulk: a relaxed structure of LiHoInAg (PBE).

Unit cell a=4.8635 b=4.8635 c=4.8635 alpha=60.00 beta=60.00 gamma=60.00
With the nearest neighbours (Å) after each atom.
Sites, in units of the cell vectors:
Li (0.7500, 0.7500, 0.7500)  4 In 2.98, 4 Ho 2.98
Ag (0.2500, 0.2500, 0.2500)  4 Ho 2.98, 4 In 2.98
Ho (0.0000, 0.0000, 0.0000)  4 Li 2.98, 4 Ag 2.98
In (0.5000, 0.5000, 0.5000)  4 Ag 2.98, 4 Li 2.98

Calculated values
E_tot ... -3.397 eV/atom

***

Entry from Alexandria via LeMat-Bulk: a relaxed structure of Ho4MgIn2Ag (PBE).

Unit cell a=5.2560 b=5.2560 c=9.1088 alpha=73.23 beta=73.23 gamma=60.00
With the nearest neighbours (Å) after each atom.
Sites, in units of the cell vectors:
Ho (0.1287, 0.1287, 0.6140)  3 Ag 3.19, 4 In 3.24-3.29, 1 Mg 3.32
Ho (0.8713, 0.8713, 0.3860)  3 Ag 3.19, 4 In 3.24-3.29, 1 Mg 3.32
Mg (0.0000, 0.0000, 0.0000)  8 Ho 3.26-3.32
Ho (0.3794, 0.3794, 0.8618)  1 Ag 3.11, 4 In 3.15-3.22, 3 Mg 3.26
Ag (0.5000, 0.5000, 0.5000)  8 Ho 3.11-3.19
In (0.7456, 0.7456, 0.7633)  8 Ho 3.15-3.29
Ho (0.6206, 0.6206, 0.1382)  1 Ag 3.11, 4 In 3.15-3.22, 3 Mg 3.26
In (0.2544, 0.2544, 0.2367)  8 Ho 3.15-3.29

Calculated values
E_tot ... -3.890 eV/atom

***

Entry from Alexandria via LeMat-Bulk: a relaxed structure of HoMg2In2Ag2 (PBE).

Unit cell a=4.7091 b=4.7091 c=8.5535 alpha=74.02 beta=74.02 gamma=60.00
With the nearest neighbours (Å) after each atom.
Sites, in units of the cell vectors:
Ag (0.4364, 0.4364, 0.6909)  3 Mg 2.84, 3 In 2.85, 1 Ag 3.10
Mg (0.1372, 0.1372, 0.5883)  3 Ag 2.84, 3 Mg 3.07, 1 In 3.13
In (0.2660, 0.2660, 0.2020)  3 Ag 2.85, 1 Mg 3.13, 3 Ho 3.17
Mg (0.8628, 0.8628, 0.4117)  3 Ag 2.84, 3 Mg 3.07, 1 In 3.13
Ho (0.0000, 0.0000, 0.0000)  6 In 3.17, 2 Mg 3.34
Ag (0.5636, 0.5636, 0.3091)  3 Mg 2.84, 3 In 2.85, 1 Ag 3.10
In (0.7340, 0.7340, 0.7980)  3 Ag 2.85, 1 Mg 3.13, 3 Ho 3.17

Calculated values
E_tot ... -2.918 eV/atom

***

Entry from Alexandria via LeMat-Bulk: a relaxed structure of NaHoInAg (PBE).

Unit cell a=5.1526 b=5.1526 c=5.1526 alpha=60.00 beta=60.00 gamma=60.00
With the nearest neighbours (Å) after each atom.
Sites, in units of the cell vectors:
In (0.0000, 0.0000, 0.0000)  4 Ho 3.16, 4 Na 3.16
Ho (0.7500, 0.7500, 0.7500)  4 In 3.16, 4 Ag 3.16
Ag (0.5000, 0.5000, 0.5000)  4 Na 3.16, 4 Ho 3.16
Na (0.2500, 0.2500, 0.2500)  4 In 3.16, 4 Ag 3.16

Calculated values
E_tot ... -3.035 eV/atom

***

Entry from Alexandria via LeMat-Bulk: a relaxed structure of NdHoInAg (PBE).

Unit cell a=5.3299 b=5.3299 c=5.3299 alpha=60.00 beta=60.00 gamma=60.00
With the nearest neighbours (Å) after each atom.
Sites, in units of the cell vectors:
In (0.7500, 0.7500, 0.7500)  4 Nd 3.26, 4 Ho 3.26
Nd (0.5000, 0.5000, 0.5000)  4 Ag 3.26, 4 In 3.26
Ho (0.0000, 0.0000, 0.0000)  4 In 3.26, 4 Ag 3.26
Ag (0.2500, 0.2500, 0.2500)  4 Ho 3.26, 4 Nd 3.26

Calculated values
E_tot ... -4.109 eV/atom

***

Entry from Alexandria via LeMat-Bulk: a relaxed structure of HoInNiAg (PBE).

Unit cell a=4.7821 b=4.7821 c=4.7821 alpha=60.00 beta=60.00 gamma=60.00
With the nearest neighbours (Å) after each atom.
Sites, in units of the cell vectors:
In (0.5000, 0.5000, 0.5000)  4 Ni 2.93, 4 Ag 2.93
Ag (0.2500, 0.2500, 0.2500)  4 In 2.93, 4 Ho 2.93
Ho (0.0000, 0.0000, 0.0000)  4 Ag 2.93, 4 Ni 2.93
Ni (0.7500, 0.7500, 0.7500)  4 In 2.93, 4 Ho 2.93

Calculated values
E_tot ... -4.292 eV/atom

***

Entry from Alexandria via LeMat-Bulk: a relaxed structure of Ho4InAg2Os (PBE).

Unit cell a=5.0798 b=5.0798 c=8.7896 alpha=73.20 beta=73.20 gamma=60.00
With the nearest neighbours (Å) after each atom.
Sites, in units of the cell vectors:
In (0.0000, 0.0000, 0.0000)  8 Ho 3.21-3.31, 6 Ag 3.47
Ag (0.2586, 0.2586, 0.2243)  8 Ho 2.98-3.27
Ho (0.3861, 0.3861, 0.8416)  1 Os 2.83, 3 Ag 2.98
Os (0.5000, 0.5000, 0.5000)  8 Ho 2.83-3.05
Ho (0.6139, 0.6139, 0.1584)  1 Os 2.83, 3 Ag 2.98
Ag (0.7414, 0.7414, 0.7757)  8 Ho 2.98-3.27
Ho (0.8668, 0.8668, 0.3996)  3 Os 3.05, 4 Ag 3.12-3.27, 1 In 3.31, 3 Ho 3.37
Ho (0.1332, 0.1332, 0.6004)  3 Os 3.05, 4 Ag 3.12-3.27, 1 In 3.31, 3 Ho 3.37

Calculated values
E_tot ... -5.132 eV/atom

***

Entry from Alexandria via LeMat-Bulk: a relaxed structure of HoPaInAg (PBE).

Unit cell a=5.2485 b=5.2485 c=5.2485 alpha=60.00 beta=60.00 gamma=60.00
With the nearest neighbours (Å) after each atom.
Sites, in units of the cell vectors:
Ag (0.2500, 0.2500, 0.2500)  4 Ho 3.21, 4 Pa 3.21
Pa (0.0000, 0.0000, 0.0000)  4 In 3.21, 4 Ag 3.21
In (0.7500, 0.7500, 0.7500)  4 Pa 3.21, 4 Ho 3.21
Ho (0.5000, 0.5000, 0.5000)  4 Ag 3.21, 4 In 3.21

Calculated values
E_tot ... -4.882 eV/atom

***

Entry from Alexandria via LeMat-Bulk: a relaxed structure of HoInAgPb (PBE).

Unit cell a=5.1995 b=5.1995 c=5.1995 alpha=60.00 beta=60.00 gamma=60.00
With the nearest neighbours (Å) after each atom.
Sites, in units of the cell vectors:
Ag (0.2500, 0.2500, 0.2500)  4 In 3.18, 4 Pb 3.18
Pb (0.0000, 0.0000, 0.0000)  4 Ho 3.18, 4 Ag 3.18
In (0.5000, 0.5000, 0.5000)  4 Ho 3.18, 4 Ag 3.18
Ho (0.7500, 0.7500, 0.7500)  4 In 3.18, 4 Pb 3.18

Calculated values
Energy above the most stable polymorph in this dataset ... 159 meV per atom

***

Entry from Alexandria via LeMat-Bulk: a relaxed structure of HoInAgPb (PBE).

Unit cell a=4.4835 b=4.5140 c=4.8059 alpha=90.00 beta=90.00 gamma=90.00
With the nearest neighbours (Å) after each atom.
Sites, in units of the cell vectors:
Ho (0.5000, 0.0000, 0.5000)  4 Pb 3.18, 4 In 3.29, 4 Ag 3.30
In (0.0000, 0.0000, 0.0000)  4 Ag 3.18, 4 Ho 3.29, 4 Pb 3.30
Ag (0.5000, 0.5000, 0.0000)  4 In 3.18, 4 Pb 3.29, 4 Ho 3.30
Pb (0.0000, 0.5000, 0.5000)  4 Ho 3.18, 4 Ag 3.29, 4 In 3.30

Calculated values
Energy above the most stable polymorph in this dataset ... 0 meV per atom

***

Entry from Alexandria via LeMat-Bulk: a relaxed structure of HoInAgPd (PBE).

Unit cell a=4.8650 b=4.8650 c=4.8650 alpha=60.00 beta=60.00 gamma=60.00
With the nearest neighbours (Å) after each atom.
Sites, in units of the cell vectors:
Ho (0.0000, 0.0000, 0.0000)  4 Pd 2.98, 4 Ag 2.98
Pd (0.7500, 0.7500, 0.7500)  4 In 2.98, 4 Ho 2.98
In (0.5000, 0.5000, 0.5000)  4 Pd 2.98, 4 Ag 2.98
Ag (0.2500, 0.2500, 0.2500)  4 In 2.98, 4 Ho 2.98

Calculated values
E_tot ... -4.406 eV/atom

***

Entry from Alexandria via LeMat-Bulk: a relaxed structure of PmHoInAg (PBE).

Unit cell a=3.6546 b=3.6546 c=7.8288 alpha=90.00 beta=90.00 gamma=90.00
With the nearest neighbours (Å) after each atom.
Sites, in units of the cell vectors:
In (0.5000, 0.5000, 0.1182)  4 Ho 3.27, 4 Pm 3.34, 4 In 3.65
Ag (0.5000, 0.5000, 0.5875)  4 Ho 3.08, 4 Pm 3.29
Ho (0.0000, 0.0000, 0.3741)  4 Ag 3.08, 4 In 3.27
Pm (0.0000, 0.0000, 0.8481)  4 Ag 3.29, 4 In 3.34, 4 Pm 3.65

Calculated values
Energy above the most stable polymorph in this dataset ... 0 meV per atom

***

Number 1: M_tot 0.0000 μB/atom. Number 2: M_tot 0.0000 μB/atom. Number 3: M_tot 0.0000 μB/atom. Number 4: M_tot 0.0000 μB/atom. Number 5: M_tot 0.0080 μB/atom. Number 6: M_tot 0.0000 μB/atom. Number 7: M_tot 0.0000 μB/atom. Number 8: M_tot 0.4996 μB/atom. Number 9: M_tot 0.0000 μB/atom. Number 10: M_tot 0.0000 μB/atom. Number 11: M_tot 0.0000 μB/atom. Number 12: M_tot 0.0000 μB/atom.